No. 1
# Ca2TmIn4 (PBE, relaxed)
# * E_form: -0.321 eV per atom
# * Fermi-level density of states: 5.377 states/eV per cell
data_Ca2TmIn4
_chemical_formula_sum 'Ca4 Tm2 In8'
_space_group_name_H-M_alt 'I 4/m m m'
_space_group_IT_number 139
_space_group_name_Hall '-I 4 2'
_cell_length_a 5.284
_cell_length_b 5.284
_cell_length_c 14.777
_cell_angle_alpha 90.00
_cell_angle_beta 90.00
_cell_angle_gamma 90.00
loop_
_atom_site_label
_atom_site_fract_x
_atom_site_fract_y
_atom_site_fract_z
Ca1 0.000 0.000 0.249
Tm1 0.000 0.000 0.500
In1 0.000 0.500 0.108

No. 2
# Ca3TmIn4 (PBE, relaxed)
# * E_form: -0.455 eV per atom
# * Fermi-level density of states: 5.358 states/eV per cell
data_Ca3TmIn4
_chemical_formula_sum 'Ca3 Tm1 In4'
_space_group_name_H-M_alt 'P 4/m m m'
_space_group_IT_number 123
_space_group_name_Hall '-P 4 2'
_cell_length_a 3.786
_cell_length_b 3.786
_cell_length_c 15.497
_cell_angle_alpha 90.00
_cell_angle_beta 90.00
_cell_angle_gamma 90.00
loop_
_atom_site_label
_atom_site_fract_x
_atom_site_fract_y
_atom_site_fract_z
Ca1 0.000 0.000 0.000
Ca2 0.000 0.000 0.254
Tm1 0.000 0.000 0.500
In1 0.500 0.500 0.128
In2 0.500 0.500 0.382

No. 3
# CaTm2In (PBE, relaxed)
# * E_form: -0.184 eV per atom
# * excess energy over the best structure of this formula in the dataset: 0 meV/atom
# * Fermi-level density of states: 3.655 states/eV per cell
data_CaTm2In
_chemical_formula_sum 'Ca1 Tm2 In1'
_space_group_name_H-M_alt 'P 4/m m m'
_space_group_IT_number 123
_space_group_name_Hall '-P 4 2'
_cell_length_a 4.886
_cell_length_b 4.886
_cell_length_c 4.799
_cell_angle_alpha 90.00
_cell_angle_beta 90.00
_cell_angle_gamma 90.00
loop_
_atom_site_label
_atom_site_fract_x
_atom_site_fract_y
_atom_site_fract_z
Ca1 0.000 0.000 0.000
Tm1 0.000 0.500 0.500
In1 0.500 0.500 0.000

No. 4
# CaTmIn6 (PBE, relaxed)
# * E_form: -0.349 eV per atom
# * Fermi-level density of states: 1.994 states/eV per cell
data_CaTmIn6
_chemical_formula_sum 'Ca1 Tm1 In6'
_space_group_name_H-M_alt 'P 4/m m m'
_space_group_IT_number 123
_space_group_name_Hall '-P 4 2'
_cell_length_a 4.663
_cell_length_b 4.663
_cell_length_c 9.350
_cell_angle_alpha 90.00
_cell_angle_beta 90.00
_cell_angle_gamma 90.00
loop_
_atom_site_label
_atom_site_fract_x
_atom_site_fract_y
_atom_site_fract_z
Ca1 0.000 0.000 0.000
Tm1 0.000 0.000 0.500
In1 0.000 0.500 0.254
In2 0.500 0.500 0.000
In3 0.500 0.500 0.500

No. 5
# CaTm2In (PBE, relaxed)
# * E_form: -0.095 eV per atom
# * excess energy over the best structure of this formula in the dataset: 90 meV/atom
# * Fermi-level density of states: 14.711 states/eV per cell
data_CaTm2In
_chemical_formula_sum 'Ca4 Tm8 In4'
_space_group_name_H-M_alt 'F m -3 m'
_space_group_IT_number 225
_space_group_name_Hall '-F 4 2 3'
_cell_length_a 7.694
_cell_length_b 7.694
_cell_length_c 7.694
_cell_angle_alpha 90.00
_cell_angle_beta 90.00
_cell_angle_gamma 90.00
loop_
_atom_site_label
_atom_site_fract_x
_atom_site_fract_y
_atom_site_fract_z
Ca1 0.000 0.000 0.000
Tm1 0.250 0.250 0.250
In1 0.000 0.000 0.500

No. 6
# CaTm5In6 (PBE, relaxed)
# * E_form: -0.425 eV per atom
# * Fermi-level density of states: 15.237 states/eV per cell
data_CaTm5In6
_chemical_formula_sum 'Ca2 Tm10 In12'
_space_group_name_H-M_alt 'I m m m'
_space_group_IT_number 71
_space_group_name_Hall '-I 2 2'
_cell_length_a 5.311
_cell_length_b 7.390
_cell_length_c 15.931
_cell_angle_alpha 90.00
_cell_angle_beta 90.00
_cell_angle_gamma 90.00
loop_
_atom_site_label
_atom_site_fract_x
_atom_site_fract_y
_atom_site_fract_z
Ca1 0.000 0.000 0.000
Tm1 0.000 0.000 0.332
Tm2 0.000 0.500 0.000
Tm3 0.000 0.500 0.336
In1 0.000 0.244 0.500
In2 0.000 0.253 0.168

No. 7
# CaTmIn (PBE, relaxed)
# * E_form: -0.346 eV per atom
# * excess energy over the best structure of this formula in the dataset: 0 meV/atom
# * Fermi-level density of states: 1.888 states/eV per cell
data_CaTmIn
_chemical_formula_sum 'Ca2 Tm2 In2'
_space_group_name_H-M_alt 'P 63/m m c'
_space_group_IT_number 194
_space_group_name_Hall '-P 6c 2c'
_cell_length_a 5.3766
_cell_length_b 5.3766
_cell_length_c 6.8709
_cell_angle_alpha 90.00
_cell_angle_beta 90.00
_cell_angle_gamma 120.00
loop_
_atom_site_label
_atom_site_fract_x
_atom_site_fract_y
_atom_site_fract_z
Ca1 0.0000 0.0000 0.0000
Tm1 0.3333 0.6667 0.2500
In1 0.3333 0.6667 0.7500

No. 8
# Ca5TmIn3 (PBE, relaxed)
# * E_form: -0.331 eV per atom
# * Fermi-level density of states: 19.766 states/eV per cell
data_Ca5TmIn3
_chemical_formula_sum 'Ca10 Tm2 In6'
_space_group_name_H-M_alt 'P 63/m c m'
_space_group_IT_number 193
_space_group_name_Hall '-P 6c 2'
_cell_length_a 9.5212
_cell_length_b 9.5212
_cell_length_c 7.0365
_cell_angle_alpha 90.00
_cell_angle_beta 90.00
_cell_angle_gamma 120.00
loop_
_atom_site_label
_atom_site_fract_x
_atom_site_fract_y
_atom_site_fract_z
Ca1 0.0000 0.3385 0.2500
Ca2 0.3333 0.6667 0.0000
Tm1 0.0000 0.0000 0.0000
In1 0.0000 0.3186 0.7500

No. 9
# Ca3TmIn12 (PBE, relaxed)
# * E_form: -0.329 eV per atom
# * Fermi-level density of states: 8.884 states/eV per cell
data_Ca3TmIn12
_chemical_formula_sum 'Ca3 Tm1 In12'
_space_group_name_H-M_alt 'P 4/m m m'
_space_group_IT_number 123
_space_group_name_Hall '-P 4 2'
_cell_length_a 4.716
_cell_length_b 4.716
_cell_length_c 18.612
_cell_angle_alpha 90.00
_cell_angle_beta 90.00
_cell_angle_gamma 90.00
loop_
_atom_site_label
_atom_site_fract_x
_atom_site_fract_y
_atom_site_fract_z
Ca1 0.000 0.000 0.000
Ca2 0.000 0.000 0.252
Tm1 0.000 0.000 0.500
In1 0.000 0.500 0.126
In2 0.000 0.500 0.378
In3 0.500 0.500 0.000
In4 0.500 0.500 0.251
In5 0.500 0.500 0.500

No. 10
# CaTm3In2 (PBE, relaxed)
# * E_form: -0.348 eV per atom
# * excess energy over the best structure of this formula in the dataset: 0 meV/atom
# * Fermi-level density of states: 7.051 states/eV per cell
data_CaTm3In2
_chemical_formula_sum 'Ca2 Tm6 In4'
_space_group_name_H-M_alt 'P m c 21'
_space_group_IT_number 26
_space_group_name_Hall 'P 2c -2'
_cell_length_a 5.350
_cell_length_b 9.246
_cell_length_c 6.759
_cell_angle_alpha 90.00
_cell_angle_beta 90.00
_cell_angle_gamma 90.00
loop_
_atom_site_label
_atom_site_fract_x
_atom_site_fract_y
_atom_site_fract_z
Ca1 0.000 0.002 0.000
Tm1 0.000 0.337 0.746
Tm2 0.500 0.170 0.253
Tm3 0.500 0.498 0.999
In1 0.000 0.335 0.248
In2 0.500 0.170 0.750

No. 11
# CaTm3In4 (PBE, relaxed)
# * E_form: -0.422 eV per atom
# * Fermi-level density of states: 9.895 states/eV per cell
data_CaTm3In4
_chemical_formula_sum 'Ca2 Tm6 In8'
_space_group_name_H-M_alt 'P m m a'
_space_group_IT_number 51
_space_group_name_Hall '-P 2a 2a'
_cell_length_a 10.739
_cell_length_b 7.168
_cell_length_c 5.454
_cell_angle_alpha 90.00
_cell_angle_beta 90.00
_cell_angle_gamma 90.00
loop_
_atom_site_label
_atom_site_fract_x
_atom_site_fract_y
_atom_site_fract_z
Ca1 0.000 0.000 0.000
Tm1 0.000 0.500 0.000
Tm2 0.250 0.000 0.425
Tm3 0.250 0.500 0.415
In1 0.000 0.255 0.500
In2 0.250 0.255 0.911

No. 12
# CaTmIn (PBE, relaxed)
# * E_form: -0.250 eV per atom
# * excess energy over the best structure of this formula in the dataset: 96 meV/atom
# * Fermi-level density of states: 10.132 states/eV per cell
data_CaTmIn
_chemical_formula_sum 'Ca4 Tm4 In4'
_space_group_name_H-M_alt 'I 4/m m m'
_space_group_IT_number 139
_space_group_name_Hall '-I 4 2'
_cell_length_a 3.485
_cell_length_b 3.485
_cell_length_c 30.096
_cell_angle_alpha 90.00
_cell_angle_beta 90.00
_cell_angle_gamma 90.00
loop_
_atom_site_label
_atom_site_fract_x
_atom_site_fract_y
_atom_site_fract_z
Ca1 0.000 0.000 0.062
Tm1 0.000 0.000 0.209
In1 0.000 0.000 0.364

No. 13
# CaTmIn (PBE, relaxed)
# * E_form: -0.182 eV per atom
# * excess energy over the best structure of this formula in the dataset: 165 meV/atom
# * Fermi-level density of states: 2.149 states/eV per cell
data_CaTmIn
_chemical_formula_sum 'Ca1 Tm1 In1'
_space_group_name_H-M_alt 'P 3 m 1'
_space_group_IT_number 156
_space_group_name_Hall 'P 3 -2"'
_cell_length_a 5.3265
_cell_length_b 5.3265
_cell_length_c 3.6100
_cell_angle_alpha 90.00
_cell_angle_beta 90.00
_cell_angle_gamma 120.00
loop_
_atom_site_label
_atom_site_fract_x
_atom_site_fract_y
_atom_site_fract_z
Ca1 0.0000 0.0000 0.0000
Tm1 0.6667 0.3333 0.5589
In1 0.3333 0.6667 0.3291

No. 14
# CaTm3In2 (PBE, relaxed)
# * E_form: -0.201 eV per atom
# * excess energy over the best structure of this formula in the dataset: 147 meV/atom
# * Fermi-level density of states: 26.211 states/eV per cell
data_CaTm3In2
_chemical_formula_sum 'Ca4 Tm12 In8'
_space_group_name_H-M_alt 'C 1 2/m 1'
_space_group_IT_number 12
_space_group_name_Hall '-C 2y'
_cell_length_a 15.989
_cell_length_b 5.401
_cell_length_c 9.174
_cell_angle_alpha 90.00
_cell_angle_beta 118.57
_cell_angle_gamma 90.00
loop_
_atom_site_label
_atom_site_fract_x
_atom_site_fract_y
_atom_site_fract_z
Ca1 0.135 0.000 0.179
Tm1 0.060 0.000 0.711
Tm2 0.114 0.500 0.540
Tm3 0.190 0.500 0.988
In1 0.026 0.500 0.172
In2 0.229 0.000 0.605

No. 15
# Ca2TmIn9 (PBE, relaxed)
# * E_form: -0.340 eV per atom
# * Fermi-level density of states: 4.385 states/eV per cell
data_Ca2TmIn9
_chemical_formula_sum 'Ca2 Tm1 In9'
_space_group_name_H-M_alt 'P 4/m m m'
_space_group_IT_number 123
_space_group_name_Hall '-P 4 2'
_cell_length_a 4.679
_cell_length_b 4.679
_cell_length_c 14.086
_cell_angle_alpha 90.00
_cell_angle_beta 90.00
_cell_angle_gamma 90.00
loop_
_atom_site_label
_atom_site_fract_x
_atom_site_fract_y
_atom_site_fract_z
Ca1 0.000 0.000 0.169
Tm1 0.000 0.000 0.500
In1 0.000 0.500 0.000
In2 0.000 0.500 0.336
In3 0.500 0.500 0.167
In4 0.500 0.500 0.500

No. 16
# Ca3Tm12In5 (PBE, relaxed)
# * E_form: 0.598 eV per atom
# * Fermi-level density of states: 247.438 states/eV per cell
data_Ca3Tm12In5
_chemical_formula_sum 'Ca24 Tm96 In40'
_space_group_name_H-M_alt 'I a -3 d'
_space_group_IT_number 230
_space_group_name_Hall '-I 4bd 2c 3'
_cell_length_a 18.359
_cell_length_b 18.359
_cell_length_c 18.359
_cell_angle_alpha 90.00
_cell_angle_beta 90.00
_cell_angle_gamma 90.00
loop_
_atom_site_label
_atom_site_fract_x
_atom_site_fract_y
_atom_site_fract_z
Ca1 0.000 0.250 0.125
Tm1 0.027 0.069 0.642
In1 0.000 0.000 0.000
In2 0.000 0.250 0.375

No. 17
# Ca4TmIn5 (PBE, relaxed)
# * E_form: -0.458 eV per atom
# * Fermi-level density of states: 5.992 states/eV per cell
data_Ca4TmIn5
_chemical_formula_sum 'Ca4 Tm1 In5'
_space_group_name_H-M_alt 'P 4/m m m'
_space_group_IT_number 123
_space_group_name_Hall '-P 4 2'
_cell_length_a 3.836
_cell_length_b 3.836
_cell_length_c 19.011
_cell_angle_alpha 90.00
_cell_angle_beta 90.00
_cell_angle_gamma 90.00
loop_
_atom_site_label
_atom_site_fract_x
_atom_site_fract_y
_atom_site_fract_z
Ca1 0.000 0.000 0.101
Ca2 0.000 0.000 0.303
Tm1 0.000 0.000 0.500
In1 0.500 0.500 0.000
In2 0.500 0.500 0.202
In3 0.500 0.500 0.406

No. 18
# CaYTm2In4 (PBE, relaxed)
# * E_form: -0.443 eV per atom
# * Fermi-level density of states: 14.930 states/eV per cell
data_CaYTm2In4
_chemical_formula_sum 'Ca3 Y3 Tm6 In12'
_space_group_name_H-M_alt 'R -3 m'
_space_group_IT_number 166
_space_group_name_Hall '-R 3 2"'
_cell_length_a 5.3131
_cell_length_b 5.3131
_cell_length_c 26.1282
_cell_angle_alpha 90.00
_cell_angle_beta 90.00
_cell_angle_gamma 120.00
loop_
_atom_site_label
_atom_site_fract_x
_atom_site_fract_y
_atom_site_fract_z
Ca1 0.0000 0.0000 0.0000
Y1 0.0000 0.0000 0.5000
Tm1 0.0000 0.0000 0.2512
In1 0.0000 0.0000 0.1257
In2 0.0000 0.0000 0.3758

No. 19
# CaTmZnIn (PBE, relaxed)
# * E_form: -0.381 eV per atom
# * excess energy over the best structure of this formula in the dataset: 0 meV/atom
# * Fermi-level density of states: 2.930 states/eV per cell
data_CaTmZnIn
_chemical_formula_sum 'Ca1 Tm1 Zn1 In1'
_space_group_name_H-M_alt 'P 4 m m'
_space_group_IT_number 99
_space_group_name_Hall 'P 4 -2'
_cell_length_a 3.644
_cell_length_b 3.644
_cell_length_c 7.573
_cell_angle_alpha 90.00
_cell_angle_beta 90.00
_cell_angle_gamma 90.00
loop_
_atom_site_label
_atom_site_fract_x
_atom_site_fract_y
_atom_site_fract_z
Ca1 0.000 0.000 0.000
Tm1 0.000 0.000 0.537
Zn1 0.500 0.500 0.747
In1 0.500 0.500 0.278

No. 20
# CaTmZnIn (PBE, relaxed)
# * E_form: -0.361 eV per atom
# * excess energy over the best structure of this formula in the dataset: 20 meV/atom
# * Fermi-level density of states: 8.090 states/eV per cell
data_CaTmZnIn
_chemical_formula_sum 'Ca4 Tm4 Zn4 In4'
_space_group_name_H-M_alt 'F -4 3 m'
_space_group_IT_number 216
_space_group_name_Hall 'F -4 2 3'
_cell_length_a 7.382
_cell_length_b 7.382
_cell_length_c 7.382
_cell_angle_alpha 90.00
_cell_angle_beta 90.00
_cell_angle_gamma 90.00
loop_
_atom_site_label
_atom_site_fract_x
_atom_site_fract_y
_atom_site_fract_z
Ca1 0.000 0.000 0.000
Tm1 0.000 0.000 0.500
Zn1 0.250 0.250 0.250
In1 0.250 0.250 0.750

Taking the records one at a time from the top gives magnetization values of 0.00, 0.00, 0.00, 0.00, 0.00, 0.00, 0.00, 0.00, 0.00, 0.00, 0.00, 0.00, 0.00, 0.39, 0.00, 0.00, 0.00, 0.00, 0.09, 0.00 μB/cell.